(1)
## LiZn5 (GGA-PBE)

Data for a geometry-optimized LiZn5 structure.

Summary:
ΔE to the lowest computed polymorph: 24 kJ/mol of formula units
Calculated total energy: -1.44 eV per atom

Cell and atoms, written as POSCAR:
```
LiZn5
1.0
5.1016 0.0000 0.0000
-2.5508 4.4181 0.0000
0.0000 0.0000 4.1984
Zn Li
5 1
direct
0.3333 0.6667 0.0000 Zn
0.5000 0.5000 0.5000 Zn
0.5000 0.0000 0.5000 Zn
0.0000 0.5000 0.5000 Zn
0.6667 0.3333 0.0000 Zn
0.0000 0.0000 0.0000 Li
```



(2)
## ZnFe2B (GGA-PBE)

Data for a geometry-optimized ZnFe2B structure.

Summary:
ΔE to the lowest computed polymorph: 0 kJ/mol of formula units
Calculated total energy: -6.06 eV per atom

Cell and atoms, written as POSCAR:
```
ZnFe2B
1.0
-1.4651 -4.2023 3.1280
3.3264 1.7629 3.9265
-4.0471 2.9703 2.0949
Fe Zn B
8 4 4
direct
0.2214 0.2214 0.7786 Fe
0.7786 0.2214 0.2214 Fe
0.2214 0.2214 0.2214 Fe
0.7786 0.7786 0.2214 Fe
0.7786 0.2214 0.7786 Fe
0.2214 0.7786 0.2214 Fe
0.7786 0.7786 0.7786 Fe
0.2214 0.7786 0.7786 Fe
0.0000 0.5000 0.5000 Zn
0.5000 0.5000 0.0000 Zn
0.5000 0.0000 0.5000 Zn
0.5000 0.5000 0.5000 Zn
0.0000 0.5000 0.0000 B
0.0000 0.0000 0.0000 B
0.0000 0.0000 0.5000 B
0.5000 0.0000 0.0000 B
```



(3)
## KReNO (GGA-PBE)

Data for a geometry-optimized KReNO structure.

Summary:
ΔE to the lowest computed polymorph: 376 kJ/mol of formula units
Calculated total energy: -6.38 eV per atom

Cell and atoms, written as POSCAR:
```
KReNO
1.0
2.6251 -2.6250 0.0000
2.6251 2.6250 0.0000
-0.0025 0.0000 10.1352
N K Re O
2 2 2 2
direct
0.7501 0.7501 0.5920 N
0.2500 0.2500 0.4105 N
0.7498 0.7498 0.1733 K
0.2500 0.2500 0.8249 K
0.7500 0.2501 0.5008 Re
0.2501 0.7500 0.5008 Re
0.7502 0.2498 0.9989 O
0.2498 0.7502 0.9989 O
```



(4)
## FeI2 (GGA-PBE)

Data for a geometry-optimized FeI2 structure.

Summary:
Calculated total energy: -3.89 eV per atom

Cell and atoms, written as POSCAR:
```
FeI2
1.0
4.0129 0.0000 0.0000
-2.0065 3.4753 0.0000
0.0000 0.0000 7.0093
I Fe
2 1
direct
0.6667 0.3333 0.7711 I
0.3333 0.6667 0.2289 I
0.0000 0.0000 0.0000 Fe
```



(5)
## Tb2GdIn3Cu3 (GGA-PBE)

Data for a geometry-optimized Tb2GdIn3Cu3 structure.

Summary:
Calculated total energy: -4.12 eV per atom

Cell and atoms, written as POSCAR:
```
Tb2GdIn3Cu3
1.0
-2.3451 -1.0820 2.9068
5.6146 -4.0319 3.0290
-0.9285 7.2330 1.9432
Tb In Cu Gd
2 3 3 1
direct
0.0000 0.5901 0.0000 Tb
0.0000 0.0000 0.5901 Tb
0.5000 0.7452 0.7452 In
0.5000 0.2551 0.9995 In
0.5000 0.9995 0.2551 In
0.5000 0.3331 0.6671 Cu
0.5000 0.6671 0.3331 Cu
0.0000 0.9997 0.9997 Cu
0.0000 0.4101 0.4101 Gd
```



(6)
## BaPrAsO (GGA-PBE)

Data for a geometry-optimized BaPrAsO structure.

Summary:
ΔE to the lowest computed polymorph: 50 kJ/mol of formula units
Calculated total energy: -5.92 eV per atom

Cell and atoms, written as POSCAR:
```
BaPrAsO
1.0
4.2915 0.0000 0.0000
0.0000 7.0597 0.0000
0.0000 0.0000 7.6961
As O Ba Pr
2 2 2 2
direct
0.0000 0.2614 0.8184 As
0.0000 0.7386 0.3184 As
0.5000 0.7595 0.8863 O
0.5000 0.2405 0.3863 O
0.5000 0.4412 0.0975 Ba
0.5000 0.5588 0.5975 Ba
0.0000 0.1264 0.4518 Pr
0.0000 0.8736 0.9518 Pr
```



(7)
## Cu2Ag3 (GGA-PBE)

Data for a geometry-optimized Cu2Ag3 structure.

Summary:
ΔE to the lowest computed polymorph: 34 kJ/mol of formula units
Formation energy from the elements: 102.5 meV/atom
Calculated total energy: -3.08 eV per atom

Cell and atoms, written as POSCAR:
```
Cu2Ag3
1.0
9.7467 -1.4383 0.0000
9.7467 1.4383 0.0000
-0.9435 0.0000 5.6221
Cu Ag
4 6
direct
0.8949 0.8949 0.2045 Cu
0.2967 0.2967 0.3951 Cu
0.1051 0.1051 0.7955 Cu
0.7033 0.7033 0.6049 Cu
0.5000 0.5000 0.0000 Ag
0.8948 0.8948 0.6819 Ag
0.5000 0.5000 0.5000 Ag
0.3001 0.3001 0.9008 Ag
0.6999 0.6999 0.0992 Ag
0.1052 0.1052 0.3181 Ag
```



(8)
## RbPrSO (GGA-PBE)

Data for a geometry-optimized RbPrSO structure.

Summary:
ΔE to the lowest computed polymorph: 37 kJ/mol of formula units
Calculated total energy: -5.79 eV per atom

Cell and atoms, written as POSCAR:
```
RbPrSO
1.0
-4.5859 -0.2959 -0.7196
1.3744 -4.5585 -6.8849
-0.2150 -5.6317 3.6858
O S Rb Pr
2 2 2 2
direct
0.5000 0.9064 0.7167 O
0.5000 0.0936 0.2167 O
0.0000 0.3000 0.6222 S
0.0000 0.7000 0.1222 S
0.0000 0.6922 0.6082 Rb
0.0000 0.3078 0.1082 Rb
0.5000 0.1323 0.5440 Pr
0.5000 0.8677 0.0440 Pr
```



The lowest calculated total energy belongs to which entry? KReNO